Record 1
! MnTe6Pt2 (GGA-PBE, optimized geometry); values from VASP
! * formation energy from raw total energies: -0.31 eV per atom
! * E_tot: -42.86 eV per cell
! * mass density: 7.9 g cm⁻³
! * space-group type: C2/m, No. 12
! * magnetic moment: 3.12 μB/cell
&SYSTEM
  ibrav = 0, nat = 9, ntyp = 3
/
ATOMIC_SPECIES
Te 127.60 Te.upf
Pt 195.08 Pt.upf
Mn 54.94 Mn.upf
CELL_PARAMETERS angstrom
-2.060 2.647 -2.180
0.108 -5.641 -3.281
-7.914 0.358 7.912
ATOMIC_POSITIONS angstrom
Te -1.960 -0.149 -2.000
Te -3.889 -2.773 0.308
Pt -7.928 0.185 4.045
Mn -3.957 0.179 3.956
Te -7.906 -2.487 4.451
Te -5.887 0.227 5.838
Pt -1.938 -2.821 -1.594
Te -5.977 0.137 2.143
Te -3.979 -2.864 -3.387

***

Record 2
! CaNi4Se (GGA-PBE, optimized geometry); values from VASP
! * formation energy from raw total energies: -0.04 eV per atom
! * E_tot: -28.87 eV per cell
! * mass density: 6.8 g cm⁻³
! * space-group type: F-43m, No. 216
! * magnetic moment: 2.02 μB/cell
&SYSTEM
  ibrav = 0, nat = 6, ntyp = 3
/
ATOMIC_SPECIES
Ni 58.69 Ni.upf
Se 78.96 Se.upf
Ca 40.08 Ca.upf
CELL_PARAMETERS angstrom
3.755 -0.744 3.174
-0.745 0.488 4.892
0.019 -4.017 2.931
ATOMIC_POSITIONS angstrom
Ni 1.136 -1.602 4.123
Se 2.272 -3.205 8.248
Ca 0.000 0.000 0.000
Ni 1.145 -3.612 5.590
Ni 3.014 -1.974 5.711
Ni 0.763 -1.358 6.571

***

Record 3
! K4Nd3InS8 (GGA-PBE, optimized geometry); values from VASP
! * formation energy from raw total energies: -1.58 eV per atom
! * E_tot: -79.75 eV per cell
! * mass density: 3.6 g cm⁻³
! * space-group type: R-3m, No. 166
! * magnetic moment: 0.00 μB/cell
&SYSTEM
  ibrav = 0, nat = 16, ntyp = 4
/
ATOMIC_SPECIES
S 32.06 S.upf
K 39.10 K.upf
In 114.82 In.upf
Nd 144.24 Nd.upf
CELL_PARAMETERS angstrom
8.269 0.000 0.000
0.000 8.813 0.371
-4.135 -4.128 5.854
ATOMIC_POSITIONS angstrom
S 4.135 4.294 3.028
K 4.135 0.000 0.000
S 4.135 0.364 3.281
S 0.000 4.321 2.944
S 6.277 2.502 0.250
S 1.992 2.502 0.250
S 2.142 2.183 5.975
In 0.000 4.406 0.186
K -2.067 -2.064 2.927
K 0.000 0.000 0.000
K 2.067 -2.064 2.927
S -2.142 2.183 5.975
S 0.000 0.391 3.197
Nd 4.135 4.406 0.186
Nd -2.067 2.342 3.113
Nd 2.067 2.342 3.113

***

Record 4
! La6AsP2Br3 (GGA-PBE, optimized geometry); values from VASP
! * formation energy from raw total energies: -1.58 eV per atom
! * E_tot: -69.07 eV per cell
! * mass density: 5.7 g cm⁻³
! * space-group type: C2/m, No. 12
! * magnetic moment: 0.00 μB/cell
&SYSTEM
  ibrav = 0, nat = 12, ntyp = 4
/
ATOMIC_SPECIES
La 138.91 La.upf
Br 79.90 Br.upf
P 30.97 P.upf
As 74.92 As.upf
CELL_PARAMETERS angstrom
7.440 -0.002 0.000
-3.720 6.443 0.000
-1.241 -2.149 7.328
ATOMIC_POSITIONS angstrom
La -0.061 4.294 5.786
Br 4.985 -0.017 3.664
P -0.001 4.296 0.000
La 2.540 -0.001 1.542
Br -2.506 4.309 3.664
La 2.450 4.242 1.536
Br 1.240 2.146 3.664
La -1.271 2.200 1.542
La 3.750 2.093 5.786
P 3.721 2.146 0.000
As 0.000 0.000 0.000
La 0.029 0.050 5.791

***

Record 5
! Hf4ReIr2 (GGA-PBE, optimized geometry); values from VASP
! * E_tot: -74.28 eV per cell
! * mass density: 15.7 g cm⁻³
! * space-group type: I4/mmm, No. 139
! * ΔE_f: -0.614 eV per atom
! * magnetic moment: 0.00 μB/cell
&SYSTEM
  ibrav = 0, nat = 7, ntyp = 3
/
ATOMIC_SPECIES
Re 186.21 Re.upf
Hf 178.49 Hf.upf
Ir 192.22 Ir.upf
CELL_PARAMETERS angstrom
5.287 -0.050 -1.891
-2.650 4.599 -1.832
-0.029 0.050 5.615
ATOMIC_POSITIONS angstrom
Re 0.000 0.000 0.000
Hf 2.643 -0.025 -0.946
Hf -0.014 0.025 2.807
Ir 1.319 2.274 -1.862
Hf 1.304 2.299 0.946
Hf -1.325 2.299 -0.916
Ir 2.629 0.000 1.862

***

Record 6
! LiAcScZn (GGA-PBE, optimized geometry); values from VASP
! * E_tot: -13.67 eV per cell
! * mass density: 5.6 g cm⁻³
! * space-group type: F-43m, No. 216
! * ΔE_f: -0.011 eV per atom
! * magnetic moment: 0.00 μB/cell
&SYSTEM
  ibrav = 0, nat = 4, ntyp = 4
/
ATOMIC_SPECIES
Ac 227.00 Ac.upf
Sc 44.96 Sc.upf
Li 6.94 Li.upf
Zn 65.41 Zn.upf
CELL_PARAMETERS angstrom
-0.251 0.134 -5.241
-1.139 -4.363 -2.685
-4.636 -0.459 -2.418
ATOMIC_POSITIONS angstrom
Ac -1.506 -1.172 -2.586
Sc -4.519 -3.516 -7.758
Li -3.013 -2.344 -5.172
Zn 0.000 0.000 0.000

***

Record 7
! PmTmNi (GGA-PBE, optimized geometry); values from VASP
! * E_tot: -31.64 eV per cell
! * mass density: 8.2 g cm⁻³
! * relative energy among the computed polymorphs: 0 meV per atom
! * space-group type: C2/m, No. 12
! * ΔE_f: -0.273 eV per atom
! * magnetic moment: 0.00 μB/cell
&SYSTEM
  ibrav = 0, nat = 6, ntyp = 3
/
ATOMIC_SPECIES
Ni 58.69 Ni.upf
Tm 168.93 Tm.upf
Pm 145.00 Pm.upf
CELL_PARAMETERS angstrom
3.634 0.001 -0.003
-0.002 6.862 -0.001
-1.818 -3.430 6.021
ATOMIC_POSITIONS angstrom
Ni 1.600 -0.927 4.286
Ni -0.216 2.503 0.880
Tm -0.218 0.728 5.593
Pm 1.600 2.503 2.928
Tm -0.217 -2.582 5.593
Pm -0.217 -0.928 2.237

***

Record 8
! Ba2NaSb (GGA-PBE, optimized geometry); values from VASP
! * formation energy from raw total energies: -0.58 eV per atom
! * E_tot: -11.60 eV per cell
! * mass density: 3.3 g cm⁻³
! * space-group type: R3m, No. 160
! * magnetic moment: 0.00 μB/cell
&SYSTEM
  ibrav = 0, nat = 4, ntyp = 3
/
ATOMIC_SPECIES
Na 22.99 Na.upf
Ba 137.33 Ba.upf
Sb 121.76 Sb.upf
CELL_PARAMETERS angstrom
5.114 0.000 0.000
2.557 4.429 0.000
2.557 1.476 9.436
ATOMIC_POSITIONS angstrom
Na 5.114 2.953 4.668
Ba 2.557 1.476 1.811
Ba 2.557 1.476 7.641
Sb 5.114 2.953 0.033

***

Record 9
! LaTb3Nd2As6 (GGA-PBE, optimized geometry); values from VASP
! * E_tot: -74.62 eV per cell
! * mass density: 7.0 g cm⁻³
! * space-group type: C2/m, No. 12
! * ΔE_f: -1.531 eV per atom
! * magnetic moment: 0.00 μB/cell
&SYSTEM
  ibrav = 0, nat = 12, ntyp = 4
/
ATOMIC_SPECIES
As 74.92 As.upf
Tb 158.93 Tb.upf
Nd 144.24 Nd.upf
La 138.91 La.upf
CELL_PARAMETERS angstrom
-0.407 0.823 -7.259
3.583 -5.713 2.838
-6.878 -2.068 1.379
ATOMIC_POSITIONS angstrom
As -0.308 -2.876 0.928
Tb -0.520 -5.660 1.847
As -1.646 -0.683 -2.460
As -3.394 -4.082 -3.969
As -4.304 -2.750 -0.079
Nd 2.253 -3.535 -0.527
Tb -3.182 -1.299 -4.889
Tb -1.851 -3.479 -1.521
As -2.056 -6.275 -0.582
Nd 0.923 -1.355 -3.894
La 0.000 0.000 0.000
As 0.602 -4.209 -2.962

***

Record 10
! Mg2Tl2Ag (GGA-PBE, optimized geometry); values from VASP
! * E_tot: -9.60 eV per cell
! * mass density: 7.1 g cm⁻³
! * relative energy among the computed polymorphs: 194 meV per atom
! * space-group type: I4/mmm, No. 139
! * ΔE_f: 0.234 eV per atom
! * magnetic moment: 0.00 μB/cell
&SYSTEM
  ibrav = 0, nat = 5, ntyp = 3
/
ATOMIC_SPECIES
Mg 24.30 Mg.upf
Tl 204.38 Tl.upf
Ag 107.87 Ag.upf
CELL_PARAMETERS angstrom
-0.553 4.024 0.480
-1.151 -0.620 3.875
6.624 2.451 4.518
ATOMIC_POSITIONS angstrom
Mg 2.311 1.766 5.285
Tl 4.321 4.007 6.241
Tl 0.599 1.847 2.632
Ag 0.000 0.000 0.000
Mg 2.609 4.088 3.588

***

Number 3 is which compound?
K4Nd3InS8

***

What did the ninth record say?
! LaTb3Nd2As6 (GGA-PBE, optimized geometry); values from VASP
! * E_tot: -74.62 eV per cell
! * mass density: 7.0 g cm⁻³
! * space-group type: C2/m, No. 12
! * ΔE_f: -1.531 eV per atom
! * magnetic moment: 0.00 μB/cell
&SYSTEM
  ibrav = 0, nat = 12, ntyp = 4
/
ATOMIC_SPECIES
As 74.92 As.upf
Tb 158.93 Tb.upf
Nd 144.24 Nd.upf
La 138.91 La.upf
CELL_PARAMETERS angstrom
-0.407 0.823 -7.259
3.583 -5.713 2.838
-6.878 -2.068 1.379
ATOMIC_POSITIONS angstrom
As -0.308 -2.876 0.928
Tb -0.520 -5.660 1.847
As -1.646 -0.683 -2.460
As -3.394 -4.082 -3.969
As -4.304 -2.750 -0.079
Nd 2.253 -3.535 -0.527
Tb -3.182 -1.299 -4.889
Tb -1.851 -3.479 -1.521
As -2.056 -6.275 -0.582
Nd 0.923 -1.355 -3.894
La 0.000 0.000 0.000
As 0.602 -4.209 -2.962

***

Which formula does entry 9 have?
LaTb3Nd2As6